Compound: BiMoN2O
Source: the Alexandria database
Functional: PBE with a Hubbard U
Structure: relaxed

## Properties
total magnetic moment	0.8	Bohr magnetons per cell
energy	-32.06	eV/cell

Cell and atoms, written as POSCAR:
```
BiMoN2O
1.0
-0.594 -3.656 -1.745
4.050 -0.578 -0.168
-0.092 -1.673 3.537
N O Mo Bi
2 1 1 1
Cartesian
2.025 -0.289 -0.084
-0.297 -1.828 -0.872
-0.046 -0.837 1.769
0.000 0.000 0.000
1.681 -2.954 0.812
```